Model one:
The following is a DFT calculation (PBE) of a relaxed FeTcIr2 crystal.

It has space group Pmmm (No. 47), with a = 2.773 Å, b = 4.504 Å, c = 4.583 Å, α = 90.00°, β = 90.00° and γ = 90.00°. Symmetry generates all atoms from Fe at (0.000, 0.000, 0.000), Tc at (0.500, 0.000, 0.500), Ir at (0.000, 0.500, 0.500) and Ir at (0.500, 0.500, 0.000).

***

Model two:
The following is a DFT calculation (PBE) of a relaxed FeTcIr2 crystal.

It has space group Amm2 (No. 38), with a = 4.097 Å, b = 2.710 Å, c = 10.004 Å, α = 90.00°, β = 90.00° and γ = 90.00°. Symmetry generates all atoms from Fe at (0.000, 0.000, 0.000), Tc at (0.500, 0.000, 0.866), Ir at (0.000, 0.000, 0.258) and Ir at (0.500, 0.000, 0.599).

***

model two wins, 24.6 kJ/mol of atoms ahead of the next structure.

***

Model one:
The following is a DFT calculation (PBE) of a relaxed FeTcIr2 crystal.

It has space group Imm2 (No. 44), with a = 2.803 Å, b = 4.385 Å, c = 9.184 Å, α = 90.00°, β = 90.00° and γ = 90.00°. Symmetry generates all atoms from Fe at (0.000, 0.000, 0.000), Tc at (0.000, 0.500, 0.280), Ir at (0.000, 0.000, 0.504) and Ir at (0.000, 0.500, 0.724).

***

Model two:
The following is a DFT calculation (PBE) of a relaxed FeTcIr2 crystal.

It has space group I-4m2 (No. 119), with a = 3.795 Å, b = 3.795 Å, c = 7.692 Å, α = 90.00°, β = 90.00° and γ = 90.00°. Symmetry generates all atoms from Fe at (0.000, 0.000, 0.000), Tc at (0.000, 0.500, 0.250), Ir at (0.000, 0.000, 0.500) and Ir at (0.000, 0.500, 0.750).

***

Model three:
The following is a DFT calculation (PBE) of a relaxed FeTcIr2 crystal.

It has space group Pmmm (No. 47), with a = 2.723 Å, b = 3.789 Å, c = 5.397 Å, α = 90.00°, β = 90.00° and γ = 90.00°. Symmetry generates all atoms from Fe at (0.000, 0.000, 0.000), Tc at (0.000, 0.000, 0.500) and Ir at (0.500, 0.500, 0.247).

***

Model four:
The following is a DFT calculation (PBE) of a relaxed FeTcIr2 crystal.

It has space group C2/m (No. 12), with a = 8.992 Å, b = 2.704 Å, c = 4.652 Å, α = 90.00°, β = 100.13° and γ = 90.00°. Symmetry generates all atoms from Fe at (0.000, 0.000, 0.000), Tc at (0.000, 0.500, 0.500) and Ir at (0.249, 0.500, 0.248).

***

model three wins, 6.5 kJ/mol of atoms ahead of the next structure.

***

Model one:
The following is a DFT calculation (PBE) of a relaxed FeTcIr2 crystal.

It has space group I4/mmm (No. 139), with a = 3.824 Å, b = 3.824 Å, c = 7.611 Å, α = 90.00°, β = 90.00° and γ = 90.00°. Symmetry generates all atoms from Fe at (0.000, 0.000, 0.000), Tc at (0.000, 0.000, 0.500) and Ir at (0.000, 0.500, 0.250).

***

Model two:
The following is a DFT calculation (PBE) of a relaxed FeTcIr2 crystal.

It has space group Pmm2 (No. 25), with a = 2.709 Å, b = 3.805 Å, c = 5.387 Å, α = 90.00°, β = 90.00° and γ = 90.00°. Symmetry generates all atoms from Fe at (0.000, 0.000, 0.000), Tc at (0.500, 0.500, 0.748), Ir at (0.000, 0.000, 0.505) and Ir at (0.500, 0.500, 0.228).

***

model one wins, 5.8 kJ/mol of atoms ahead of the next structure.

***

Model one:
The following is a DFT calculation (PBE) of a relaxed Fe2TcIr2 crystal.

It has space group P4/mbm (No. 127), with a = 7.020 Å, b = 7.020 Å, c = 2.695 Å, α = 90.00°, β = 90.00° and γ = 90.00°. Symmetry generates all atoms from Fe at (0.119, 0.381, 0.000), Tc at (0.000, 0.000, 0.000) and Ir at (0.177, 0.677, 0.500).

***

Model two:
The following is a DFT calculation (PBE) of a relaxed Fe2TcIr2 crystal.

It has space group P4/mbm (No. 127), with a = 7.116 Å, b = 7.116 Å, c = 2.652 Å, α = 90.00°, β = 90.00° and γ = 90.00°. Symmetry generates all atoms from Fe at (0.169, 0.331, 0.000), Tc at (0.000, 0.000, 0.500) and Ir at (0.129, 0.629, 0.500).

***

model one wins, 10.5 kJ/mol of atoms ahead of the next structure.

***

Model one:
The following is a DFT calculation (PBE) of a relaxed FeTcIr3 crystal.

It has space group Pnma (No. 62), with a = 5.423 Å, b = 3.829 Å, c = 13.563 Å, α = 90.00°, β = 90.00° and γ = 90.00°. Symmetry generates all atoms from Fe at (0.125, 0.250, 0.151), Tc at (0.123, 0.250, 0.547), Ir at (0.119, 0.250, 0.350), Ir at (0.124, 0.250, 0.951) and Ir at (0.127, 0.250, 0.748).

***

Model two:
The following is a DFT calculation (PBE) of a relaxed FeTcIr3 crystal.

It has space group Pm-3m (No. 221), with a = 4.412 Å, b = 4.412 Å, c = 4.412 Å, α = 90.00°, β = 90.00° and γ = 90.00°. Symmetry generates all atoms from Fe at (0.000, 0.000, 0.000), Tc at (0.500, 0.500, 0.500) and Ir at (0.000, 0.000, 0.500).

***

model one wins, 163.8 kJ/mol of atoms ahead of the next structure.

***

Model one:
The following is a DFT calculation (PBE) of a relaxed FeTc2Ir2 crystal.

It has space group P4/mbm (No. 127), with a = 7.420 Å, b = 7.420 Å, c = 2.733 Å, α = 90.00°, β = 90.00° and γ = 90.00°. Symmetry generates all atoms from Fe at (0.000, 0.000, 0.000), Tc at (0.172, 0.328, 0.500) and Ir at (0.126, 0.626, 0.000).

***

Model two:
The following is a DFT calculation (PBE) of a relaxed FeTc2Ir2 crystal.

It has space group P-1 (No. 2), with a = 2.717 Å, b = 6.484 Å, c = 8.655 Å, α = 109.60°, β = 99.00° and γ = 90.02°. Symmetry generates all atoms from Fe at (0.075, 0.097, 0.153), Tc at (0.236, 0.320, 0.471), Tc at (0.486, 0.279, 0.970), Ir at (0.119, 0.540, 0.238) and Ir at (0.326, 0.060, 0.651).

***

model two wins, 34.1 kJ/mol of atoms ahead of the next structure.